! Li2Pm2YGa2, optimized geometry, DFT PBE-GGA; values from VASP
&SYSTEM
  ibrav = 0, nat = 7, ntyp = 4
/
ATOMIC_SPECIES
Li 6.94 Li.upf
Pm 145.00 Pm.upf
Y 88.91 Y.upf
Ga 69.72 Ga.upf
CELL_PARAMETERS angstrom
2.3113 1.3344 8.9720
-2.3113 1.3344 8.9720
0.0000 -2.6688 8.9720
ATOMIC_POSITIONS angstrom
Li 0.0000 0.0000 2.9291
Li 0.0000 0.0000 23.9870
Pm 0.0000 0.0000 10.0811
Pm 0.0000 0.0000 16.8350
Y 0.0000 0.0000 13.4581
Ga 0.0000 0.0000 6.3106
Ga 0.0000 0.0000 20.6055
! **V**: 23.72 Å³ per atom
! **Spin magnetization**: 0.000 μB/cell
! **Total DFT energy (no corrections)**: -3.98 eV per atom
! **E_form**: -0.292 eV/atom
! **Fermi-level density of states**: 0.830 states/eV per atom